# KBaAl2

A crystal of KBaAl2 relaxed with PBEsol (SCAN, Alexandria via LeMat-Bulk).

Values from the calculation:
- M_tot: 0.00 μB/f.u.
- Space-group type: Amm2
- ΔH_f (0 K): 0.032 eV per atom

abc: 4.6189 5.3685 6.5026
angles: 114.38 90.00 90.00
Fractional coordinates of all 4 atoms:
K: 0.5000 0.3976 0.7952
Ba: 0.0000 0.1044 0.2087
Al: 0.0000 0.7954 0.5908
Al: 0.5000 0.7000 0.4000

=====

# KBa2Al

A crystal of KBa2Al relaxed with PBEsol (SCAN, Alexandria via LeMat-Bulk).

Values from the calculation:
- M_tot: 0.00 μB/f.u.
- Space-group type: F-43m
- ΔH_f (0 K): 0.160 eV per atom

abc: 6.0012 6.0016 6.0012
angles: 60.00 90.00 120.00
Fractional coordinates of all 4 atoms:
K: 0.5000 0.0000 0.5000
Ba: 0.0000 0.0000 0.0000
Ba: 0.2500 0.5000 0.2500
Al: 0.7500 0.5000 0.7500

=====

# KBa2Al

A crystal of KBa2Al relaxed with PBEsol (SCAN, Alexandria via LeMat-Bulk).

Values from the calculation:
- M_tot: 0.00 μB/f.u.
- Space-group type: I-42d
- ΔH_f (0 K): 0.373 eV per atom

abc: 5.3980 5.3980 12.8740
angles: 102.10 102.10 90.00
Fractional coordinates of all 8 atoms:
K: 0.2500 0.7500 0.5000
K: 0.0000 0.0000 0.0000
Ba: 0.4009 0.8750 0.2500
Ba: 0.8491 0.3750 0.2500
Ba: 0.1250 0.1509 0.7500
Ba: 0.6250 0.5991 0.7500
Al: 0.7500 0.2500 0.5000
Al: 0.5000 0.5000 0.0000